## CuRe2As (PBE)

Data for an optimized crystal structure of CuRe2As.

Cell: 9.470 9.470 9.470 Å, 157.06 157.06 32.67°
Positions (direct):
Cu1 0.000 0.000 0.000
Cu2 0.750 0.250 0.500
Re1 0.080 0.625 0.955
Re2 0.375 0.330 0.455
Re3 0.670 0.125 0.045
Re4 0.875 0.920 0.545
As1 0.250 0.750 0.500
As2 0.500 0.500 0.000

Summary:
Final energy = -7.80 eV per atom
ΔE_f = 0.607 eV/atom
DOS(E_F) = 6.39 states/eV per cell

***

## CuReAs2 (PBE)

Data for an optimized crystal structure of CuReAs2.

Cell: 6.736 6.736 6.736 Å, 153.30 151.11 39.74°
Positions (direct):
Cu1 0.000 0.000 0.000
Re1 0.240 0.740 0.500
As1 0.398 0.398 0.000
As2 0.651 0.151 0.500

Summary:
Final energy = -6.21 eV per atom
ΔE_f = 0.249 eV/atom
DOS(E_F) = 1.77 states/eV per cell
ΔE to the lowest computed polymorph = 0.0786 eV/atom